Computed, not measured: LaBe3Pt after structural relaxation at the PBE level of DFT.

Unit cell a=4.9222 b=4.9222 c=8.2870 alpha=72.72 beta=72.72 gamma=90.00
Last column: nearest neighbours and their distance in Å.
Element x y z (fractional)
Be  0.7573  0.7573  0.4853  2 Be 2.37, 2 Pt 2.46
Pt  0.2500  0.7500  0.5000  8 Be 2.26-2.46
Be  0.1166  0.8292  0.7668  1 Be 2.09, 2 Pt 2.25-2.26
Be  0.2427  0.2427  0.5147  2 Be 2.37, 2 Pt 2.46
Pt  0.0000  0.0000  0.0000  4 Be 2.25
La  0.8929  0.3929  0.2142  4 Be 2.84, 2 Pt 2.94
La  0.6071  0.1071  0.7858  4 Be 2.84, 2 Pt 2.94
Be  0.5960  0.8834  0.2332  1 Be 2.09, 2 Pt 2.25-2.26
Be  0.1166  0.4040  0.7668  1 Be 2.09, 2 Pt 2.25-2.26
Be  0.1708  0.8834  0.2332  1 Be 2.09, 2 Pt 2.25-2.26

Values from the calculation:
Formation enthalpy at 0 K = -0.0785 eV/atom
Energy = -45.08 eV per cell
Size of the total moment = 0.0 μB/f.u.
Energy relative to the lowest polymorph listed for this composition = 412 meV/atom